A relaxed LiAcLaSn crystal, computed with GGA-PBE.

For the total energy, the calculation gives -4.14 eV/atom. Its energy relative to the elements is -0.397 eV per atom.

The structure belongs to space group F-43m (No. 216); the cell edges are 7.9568, 7.9568 and 7.9568 Å and the angles 90.00°, 90.00° and 90.00°. The distinct sites, in fractional coordinates, are Li at (0.0000, 0.0000, 0.0000), Ac at (0.2500, 0.2500, 0.2500), La at (0.2500, 0.2500, 0.7500) and Sn at (0.0000, 0.0000, 0.5000).